Record 1
A geometry-optimized PrOsI structure, computed with PBE.

Calculated values
Crystal system: trigonal

abc: 12.772 12.772 12.772
angles: 19.32 19.32 19.32
Positions (direct):
1 Pr 0.055 0.055 0.055
2 Pr 0.945 0.945 0.945
3 Os 0.336 0.336 0.336
4 Os 0.664 0.664 0.664
5 I 0.220 0.220 0.220
6 I 0.780 0.780 0.780

***

Record 2
A geometry-optimized Pr4OsI3 structure, computed with PBE.

Calculated values
Crystal system: orthorhombic

abc: 6.324 13.185 6.375
angles: 90.00 90.00 90.00
Positions (direct):
1 Pr 0.250 0.051 0.206
2 Pr 0.250 0.250 0.725
3 Pr 0.250 0.449 0.206
4 Pr 0.250 0.750 0.803
5 Pr 0.750 0.250 0.197
6 Pr 0.750 0.551 0.794
7 Pr 0.750 0.750 0.275
8 Pr 0.750 0.949 0.794
9 Os 0.250 0.250 0.205
10 Os 0.750 0.750 0.795
11 I 0.250 0.502 0.709
12 I 0.250 0.750 0.300
13 I 0.250 0.998 0.709
14 I 0.750 0.002 0.291
15 I 0.750 0.250 0.700
16 I 0.750 0.498 0.291

***

In the order shown, the computed ΔE_f (raw) values come out to -72; -56 kJ/mol of atoms.
In the order shown, the computed V values come out to 199; 532 Å³/cell.
In the order shown, the computed E values come out to -6.60; -4.96 eV per atom.